A relaxed La4Ag5Pt2 crystal, computed with GGA-PBE.

Cell: 3.923 7.567 9.490 Å, 95.14 90.00 90.00°
Atoms (fractional coordinates):
Ag: 0.000 0.820 0.857
Ag: 0.000 0.180 0.143
Ag: 0.000 0.500 0.000
Ag: 0.000 0.539 0.314
Ag: 0.000 0.461 0.686
Pt: 0.000 0.072 0.646
Pt: 0.000 0.928 0.354
La: 0.500 0.807 0.140
La: 0.500 0.765 0.564
La: 0.500 0.235 0.436
La: 0.500 0.193 0.860

## Properties
size of the total moment = 0.00 μB/cell
E_form = -0.55 eV per atom